Below is a geometry-optimized Li4Tb3YS8 structure, with properties calculated at the PBE-GGA level.

Cell lengths 7.8580, 7.8580, 18.5498 Å; angles 90.00, 90.00, 120.00 degrees
Space group R-3m (No. 166, hexagonal axes)
One atom of each set of equivalent atoms:
1 Li 0.0000 0.0000 0.0000 x3
2 Li 0.0000 0.5000 0.0000 x9
3 Tb 0.0000 0.5000 0.5000 x9
4 Y 0.0000 0.0000 0.5000 x3
5 S 0.0000 0.0000 0.2504 x6
6 S 0.0008 0.5004 0.2504 x18

Properties
The calculation puts the final energy at -5.660 eV per atom.